This record from Alexandria via LeMat-Bulk describes a geometry-optimized La2Mn structure. The functional is GGA-PBE.

V	29.1	Å³/atom
energy relative to the elements	0.242	eV per atom

Cell lengths 8.0592, 8.0592, 4.6482 Å; angles 90.00, 90.00, 120.00 degrees
Space group P-62m (No. 189)
Unique sites:
La (0.0000, 0.2603, 0.0000) [3 per cell]
La (0.0000, 0.6008, 0.5000) [3 per cell]
Mn (0.0000, 0.0000, 0.5000) [1 per cell]
Mn (0.3333, 0.6667, 0.0000) [2 per cell]